(1)
Compound: BaAs2Cl
Source: Alexandria via LeMat-Bulk
Functional: GGA-PBE
Structure: relaxed

Values from the calculation:
Final energy: -0.3182 Ry per atom

a b c (Å): 13.087 3.827 4.922
angles (deg): 90.00 100.40 90.00
Space group C2/m (No. 12)
Asymmetric unit:
Ba (0.000, 0.000, 0.000) x2
As (0.236, 0.500, 0.149) x4
Cl (0.000, 0.500, 0.500) x2

(2)
Compound: CsPt3Pb3
Source: Alexandria via LeMat-Bulk
Functional: GGA-PBE
Structure: relaxed

Values from the calculation:
Energy of formation: -0.15 eV/atom

a b c (Å): 6.9523 6.9523 30.4170
angles (deg): 90.00 90.00 120.00
Space group R-3 (No. 148, hexagonal axes)
Asymmetric unit:
Cs (0.0000, 0.0000, 0.1917) x6
Pt (0.0426, 0.7978, 0.6864) x18
Pb (0.0087, 0.5614, 0.2619) x18

(3)
Compound: K2ScHg
Source: Alexandria via LeMat-Bulk
Functional: GGA-PBE
Structure: relaxed

Values from the calculation:
Energy of formation: 0.37 eV/atom

a b c (Å): 6.761 11.903 3.620
angles (deg): 90.00 90.68 90.00
Space group C2/m (No. 12)
Asymmetric unit:
K (0.250, 0.250, 0.000) x4
Sc (0.000, 0.000, 0.500) x2
Hg (0.000, 0.500, 0.500) x2

(4)
Compound: Ba2IrIN
Source: Alexandria via LeMat-Bulk
Functional: GGA-PBE
Structure: relaxed

Values from the calculation:
Final energy: -0.3936 Ry per atom

a b c (Å): 5.988 5.988 3.856
angles (deg): 90.00 90.00 90.00
Space group P4/mmm (No. 123)
Asymmetric unit:
Ba (0.000, 0.500, 0.000) x2
Ir (0.000, 0.000, 0.500) x1
I (0.500, 0.500, 0.500) x1
N (0.000, 0.000, 0.000) x1

(5)
Compound: CsLi3I4
Source: Alexandria via LeMat-Bulk
Functional: GGA-PBE
Structure: relaxed

Values from the calculation:
Final energy: -0.2124 Ry per atom

a b c (Å): 11.350 4.676 11.617
angles (deg): 90.00 94.23 90.00
Space group Pm (No. 6)
Asymmetric unit:
Cs (0.000, 0.000, 0.000) x1
Cs (0.465, 0.000, 0.143) x1
Li (0.146, 0.000, 0.356) x1
Li (0.248, 0.500, 0.684) x1
Li (0.531, 0.000, 0.532) x1
Li (0.616, 0.500, 0.851) x1
Li (0.789, 0.500, 0.314) x1
Li (0.899, 0.000, 0.634) x1
I (0.008, 0.500, 0.727) x1
I (0.183, 0.500, 0.224) x1
I (0.289, 0.000, 0.559) x1
I (0.381, 0.500, 0.890) x1
I (0.572, 0.500, 0.407) x1
I (0.680, 0.000, 0.734) x1
I (0.742, 0.500, 0.073) x1
I (0.905, 0.000, 0.393) x1

(6)
Compound: Ce2AlPd6
Source: Alexandria via LeMat-Bulk
Functional: GGA-PBE
Structure: relaxed

Values from the calculation:
Energy of formation: -0.78 eV/atom

a b c (Å): 9.835 5.720 6.170
angles (deg): 90.00 103.81 90.00
Space group C2/m (No. 12)
Asymmetric unit:
Ce (0.142, 0.000, 0.327) x4
Al (0.000, 0.500, 0.500) x2
Pd (0.127, 0.500, 0.199) x4
Pd (0.129, 0.242, 0.813) x8

(7)
Compound: LiTaTi2Os
Source: Alexandria via LeMat-Bulk
Functional: GGA-PBE
Structure: relaxed

Values from the calculation:
Energy of formation: 0.88 eV/atom

a b c (Å): 4.649 4.649 4.399
angles (deg): 90.00 90.00 90.00
Space group P4/mmm (No. 123)
Asymmetric unit:
Li (0.000, 0.000, 0.000) x1
Ta (0.500, 0.500, 0.000) x1
Ti (0.000, 0.500, 0.500) x2
Os (0.000, 0.000, 0.500) x1

(8)
Compound: AlZnTe2
Source: Alexandria via LeMat-Bulk
Functional: GGA-PBE
Structure: relaxed

Values from the calculation:
Final energy: -0.2135 Ry per atom

a b c (Å): 4.1238 4.1238 23.0875
angles (deg): 90.00 90.00 120.00
Space group R3m (No. 160, hexagonal axes)
Asymmetric unit:
Al (0.0000, 0.0000, 0.0000) x3
Zn (0.0000, 0.0000, 0.7545) x3
Te (0.0000, 0.0000, 0.2743) x3
Te (0.0000, 0.0000, 0.4671) x3

(9)
Compound: Tb5CdPd2
Source: Alexandria via LeMat-Bulk
Functional: GGA-PBE
Structure: relaxed

Values from the calculation:
Energy of formation: -0.52 eV/atom

a b c (Å): 7.933 7.933 13.330
angles (deg): 90.00 90.00 90.00
Space group I4/mcm (No. 140)
Asymmetric unit:
Tb (0.000, 0.000, 0.000) x4
Tb (0.159, 0.341, 0.140) x16
Cd (0.000, 0.000, 0.250) x4
Pd (0.133, 0.367, 0.500) x8

(10)
Compound: Ac2Pr3Hg2
Source: Alexandria via LeMat-Bulk
Functional: GGA-PBE
Structure: relaxed

Values from the calculation:
Energy of formation: -0.21 eV/atom

a b c (Å): 3.891 32.921 3.841
angles (deg): 90.00 90.00 90.00
Space group Cmmm (No. 65)
Asymmetric unit:
Ac (0.000, 0.197, 0.000) x4
Pr (0.000, 0.075, 0.000) x4
Pr (0.000, 0.500, 0.500) x2
Hg (0.000, 0.368, 0.500) x4

(11)
Compound: NdSbPt5
Source: Alexandria via LeMat-Bulk
Functional: GGA-PBE
Structure: relaxed

Values from the calculation:
Final energy: -0.4561 Ry per atom

a b c (Å): 8.841 5.568 10.838
angles (deg): 90.00 90.00 90.00
Space group Pnma (No. 62)
Asymmetric unit:
Nd (0.249, 0.250, 0.051) x4
Sb (0.158, 0.250, 0.348) x4
Pt (0.068, 0.507, 0.797) x8
Pt (0.076, 0.250, 0.576) x4
Pt (0.089, 0.750, 0.021) x4
Pt (0.177, 0.750, 0.272) x4

(12)
Compound: Al2Hg2Pb
Source: Alexandria via LeMat-Bulk
Functional: GGA-PBE
Structure: relaxed

Values from the calculation:
Energy of formation: 0.14 eV/atom

a b c (Å): 4.287 4.287 12.792
angles (deg): 90.00 90.00 90.00
Space group I4/mmm (No. 139)
Asymmetric unit:
Al (0.000, 0.500, 0.250) x4
Hg (0.000, 0.000, 0.113) x4
Pb (0.000, 0.000, 0.500) x2

(13)
Compound: Zr3Te
Source: Alexandria via LeMat-Bulk
Functional: GGA-PBE
Structure: relaxed

Values from the calculation:
Final energy: -0.5503 Ry per atom

a b c (Å): 4.357 4.357 18.785
angles (deg): 90.00 90.00 90.00
Space group I4/mmm (No. 139)
Asymmetric unit:
Zr (0.000, 0.000, 0.123) x4
Zr (0.000, 0.500, 0.000) x4
Zr (0.000, 0.500, 0.250) x4
Te (0.000, 0.000, 0.378) x4

(14)
Compound: CsBe3Sb
Source: Alexandria via LeMat-Bulk
Functional: GGA-PBE
Structure: relaxed

Values from the calculation:
Final energy: -0.0663 Ry per atom

a b c (Å): 5.080 5.080 5.080
angles (deg): 90.00 90.00 90.00
Space group Pm-3m (No. 221)
Asymmetric unit:
Cs (0.000, 0.000, 0.000) x1
Be (0.000, 0.000, 0.500) x3
Sb (0.500, 0.500, 0.500) x1

(15)
Compound: CsGa7
Source: Alexandria via LeMat-Bulk
Functional: GGA-PBE
Structure: relaxed

Values from the calculation:
Energy of formation: -0.04 eV/atom

a b c (Å): 11.464 7.354 4.900
angles (deg): 90.00 115.27 90.00
Space group C2/m (No. 12)
Asymmetric unit:
Cs (0.000, 0.000, 0.000) x2
Ga (0.000, 0.500, 0.000) x2
Ga (0.134, 0.321, 0.633) x8
Ga (0.243, 0.500, 0.242) x4

(16)
Compound: CaEr2Rh3
Source: Alexandria via LeMat-Bulk
Functional: GGA-PBE
Structure: relaxed

Values from the calculation:
Energy of formation: -0.77 eV/atom

a b c (Å): 3.379 3.379 10.398
angles (deg): 90.00 90.00 90.00
Space group P4/mmm (No. 123)
Asymmetric unit:
Ca (0.000, 0.000, 0.000) x1
Er (0.000, 0.000, 0.334) x2
Rh (0.500, 0.500, 0.183) x2
Rh (0.500, 0.500, 0.500) x1

(17)
Compound: Pm4TlZnO
Source: Alexandria via LeMat-Bulk
Functional: GGA-PBE
Structure: relaxed

Values from the calculation:
Final energy: -0.3593 Ry per atom

a b c (Å): 6.769 16.118 6.801
angles (deg): 90.00 90.00 90.00
Space group Cmcm (No. 63)
Asymmetric unit:
Pm (0.000, 0.066, 0.250) x4
Pm (0.000, 0.419, 0.250) x4
Pm (0.250, 0.250, 0.000) x8
Tl (0.000, 0.389, 0.750) x4
Zn (0.000, 0.122, 0.750) x4
O (0.000, 0.255, 0.250) x4

(18)
Compound: TbSbSeO2
Source: Alexandria via LeMat-Bulk
Functional: GGA-PBE
Structure: relaxed

Values from the calculation:
Final energy: -0.4728 Ry per atom

a b c (Å): 6.517 3.989 7.627
angles (deg): 90.00 105.19 90.00
Space group P2_1/m (No. 11)
Asymmetric unit:
Tb (0.194, 0.250, 0.426) x2
Sb (0.178, 0.250, 0.906) x2
Se (0.434, 0.750, 0.706) x2
O (0.009, 0.750, 0.888) x2
O (0.017, 0.750, 0.362) x2

(19)
Compound: MnCoTcHOs
Source: Alexandria via LeMat-Bulk
Functional: GGA-PBE
Structure: relaxed

Values from the calculation:
Final energy: -0.5982 Ry per atom

a b c (Å): 9.701 2.694 4.589
angles (deg): 90.00 116.81 90.00
Space group Cm (No. 8)
Asymmetric unit:
Mn (0.000, 0.000, 0.000) x2
Co (0.271, 0.500, 0.456) x2
Tc (0.012, 0.500, 0.516) x2
H (0.195, 0.000, 0.233) x2
Os (0.269, 0.000, 0.930) x2

(20)
Compound: KCdTe
Source: Alexandria via LeMat-Bulk
Functional: GGA-PBE
Structure: relaxed

Values from the calculation:
Final energy: -0.1535 Ry per atom

a b c (Å): 5.8175 5.8175 3.2956
angles (deg): 90.00 90.00 120.00
Space group P3m1 (No. 156)
Asymmetric unit:
K (0.0000, 0.0000, 0.0000) x1
Cd (0.3333, 0.6667, 0.5003) x1
Te (0.6667, 0.3333, 0.4988) x1